# CoGe2F | Alexandria via LeMat-Bulk | PBE with a Hubbard U | relaxed
# - Theoretical density: 5.0 Mg/m³
# - E above lowest polymorph: 15 meV per atom
# - Crystal system: tetragonal
data_CoGe2F
_cell_length_a 5.3596
_cell_length_b 5.3596
_cell_length_c 6.4189
_cell_angle_alpha 65.32
_cell_angle_beta 65.32
_cell_angle_gamma 90.00
_symmetry_space_group_name_H-M 'P 1'
_symmetry_Int_Tables_number 1
loop_
_symmetry_equiv_pos_as_xyz
'x,y,z'
loop_
_atom_site_label
_atom_site_fract_x
_atom_site_fract_y
_atom_site_fract_z
_atom_site_occupancy
Ge1 0.3750 0.3475 0.7500 1
Ge2 0.6525 0.1250 0.2500 1
Ge3 0.8750 0.9025 0.7500 1
Ge4 0.0975 0.6250 0.2500 1
Co1 0.0000 0.0000 0.0000 1
Co2 0.7500 0.2500 0.5000 1
F1 0.2500 0.7500 0.5000 1
F2 0.5000 0.5000 0.0000 1